Here is an optimized crystal structure of Ni2H from OQMD. Energies are from PBE.

Structure (POSCAR):
```
Ni2H
1.0
0.000 3.565 3.565
3.565 0.000 3.565
3.565 3.565 0.000
Ni H
4 2
direct
0.000 0.000 0.000
0.000 0.000 0.500
0.000 0.500 0.000
0.500 0.000 0.000
0.125 0.125 0.125
0.875 0.875 0.875
```

Values from the calculation:
**Magnetization**: 0.33 μB per atom
**Total DFT energy (no corrections)**: -4.035 eV/atom